# 1
5
Lattice="-1.045 -0.364 -4.509 -2.663 -3.323 0.886 -3.519 2.974 0.575" Properties=species:S:1:pos:R:3 comment="CrFeTcRh2 (GGA-PBE, relaxed)" mass_density_g_cm3=7.29 total_energy_ev_per_atom=-6.935 space_group="P4/mmm (123)" magnetic_moment_mub_per_fu=1.4 pbc="T T T"
Cr -3.614 -0.357 -1.524
Rh -1.760 1.487 0.288
Rh -0.522 -0.182 -2.255
Tc 0.000 0.000 0.000
Fe -1.332 -1.661 0.443


# 2
9
Lattice="6.025 0.000 0.000 -3.012 9.156 0.920 0.000 -0.610 6.058" Properties=species:S:1:pos:R:3 comment="Dy2Tm2Te5 (GGA-PBE, relaxed)" mass_density_g_cm3=6.40 total_energy_ev_per_atom=-4.911 space_group="Cmmm (65)" magnetic_moment_mub_per_fu=0.0 pbc="T T T"
Dy 0.000 2.258 6.345
Dy 3.012 6.288 0.633
Tm 0.000 5.458 3.608
Tm 3.012 3.088 3.370
Te 0.000 5.466 6.668
Te 3.012 3.080 0.310
Te 0.000 2.487 3.309
Te 3.012 6.059 3.669
Te 0.000 0.000 0.000


# 3
5
Lattice="-2.014 0.614 5.259 -5.262 -0.852 -1.916 -3.250 -3.824 2.253" Properties=species:S:1:pos:R:3 comment="Ca2GaPt2 (GGA-PBE, relaxed)" mass_density_g_cm3=7.41 total_energy_ev_per_atom=-4.538 space_group="I4/mmm (139)" magnetic_moment_mub_per_fu=0.0 pbc="T T T"
Ca -4.451 -1.664 4.591
Ca -6.075 -2.397 1.004
Ga 0.000 0.000 0.000
Pt -3.503 -1.410 1.874
Pt -7.023 -2.651 3.721


# 4
12
Lattice="7.631 -0.004 -0.001 -3.817 6.608 -0.001 -1.274 -2.205 7.409" Properties=species:S:1:pos:R:3 comment="Ca2Pm3ErTe6 (GGA-PBE, relaxed)" mass_density_g_cm3=6.44 total_energy_ev_per_atom=-4.914 space_group="C2/m (12)" magnetic_moment_mub_per_fu=0.0 pbc="T T T"
Ca 0.010 4.397 -0.001
Ca 3.804 2.206 -0.001
Pm -2.468 4.358 3.703
Pm 5.008 0.040 3.703
Pm 1.270 2.199 3.703
Er 0.000 0.000 0.000
Te 3.794 2.234 5.630
Te 2.565 4.442 1.837
Te -1.254 2.165 1.776
Te 0.039 4.403 5.630
Te -0.025 -0.043 5.569
Te 2.502 -0.004 1.776


Let's list V in order: 93.8, 337.5, 121.0, 373.4 Å³/cell.